Record 1
# HgPdSe PBE-GGA optimized geometry
data_HgPdSe
_space_group_name_H-M_alt 'C 1 2/m 1'
_space_group_IT_number 12
_cell_length_a 12.721
_cell_length_b 3.263
_cell_length_c 8.783
_cell_angle_alpha 90.00
_cell_angle_beta 130.98
_cell_angle_gamma 90.00
loop_
_space_group_symop_operation_xyz
'x,y,z'
'-x,-y,-z'
'-x,y,-z'
'x,-y,z'
'x+1/2,y+1/2,z'
'-x+1/2,-y+1/2,-z'
'-x+1/2,y+1/2,-z'
'x+1/2,-y+1/2,z'
loop_
_atom_site_label
_atom_site_type_symbol
_atom_site_fract_x
_atom_site_fract_y
_atom_site_fract_z
Hg1 Hg 0.204 0.000 0.214
Pd1 Pd 0.128 0.500 0.885
Se1 Se 0.059 0.000 0.338
# **Formation energy (no corrections)**: -0.15 eV/atom
# **Total magnetic moment**: 0.00 μB per atom
# **Distance to the lowest polymorph of the same formula**: 80 meV per atom

***

Record 2
# CsNa2GePd PBE-GGA optimized geometry
data_CsNa2GePd
_space_group_name_H-M_alt 'P 4/m m m'
_space_group_IT_number 123
_space_group_name_Hall '-P 4 2'
_cell_length_a 5.747
_cell_length_b 5.747
_cell_length_c 4.858
_cell_angle_alpha 90.00
_cell_angle_beta 90.00
_cell_angle_gamma 90.00
loop_
_atom_site_label
_atom_site_type_symbol
_atom_site_fract_x
_atom_site_fract_y
_atom_site_fract_z
Cs1 Cs 0.000 0.000 0.000
Na1 Na 0.000 0.500 0.500
Ge1 Ge 0.500 0.500 0.500
Pd1 Pd 0.500 0.500 0.000
# **Formation energy from the elements**: -61 meV per atom
# **Total magnetic moment**: 0.00 μB per atom
# **Distance to the lowest polymorph of the same formula**: 76 meV per atom

***

Record 3
# Li4Tb3PrTe8 PBE-GGA optimized geometry
data_Li4Tb3PrTe8
_space_group_name_H-M_alt 'R -3 m'
_space_group_IT_number 166
_space_group_name_Hall '-R 3 2"'
_cell_length_a 8.7840
_cell_length_b 8.7840
_cell_length_c 21.2307
_cell_angle_alpha 90.00
_cell_angle_beta 90.00
_cell_angle_gamma 120.00
loop_
_atom_site_label
_atom_site_type_symbol
_atom_site_fract_x
_atom_site_fract_y
_atom_site_fract_z
Li1 Li 0.0000 0.0000 0.0000
Li2 Li 0.0000 0.5000 0.0000
Tb1 Tb 0.0000 0.5000 0.5000
Pr1 Pr 0.0000 0.0000 0.5000
Te1 Te 0.0000 0.0000 0.2516
Te2 Te 0.0072 0.5036 0.7470
# **Formation energy (no corrections)**: -1.29 eV/atom
# **Total magnetic moment**: 0.00 μB per atom

***

Record 4
# MgCo2Te PBE-GGA optimized geometry
data_MgCo2Te
_space_group_name_H-M_alt 'C 1 m 1'
_space_group_IT_number 8
_cell_length_a 8.971
_cell_length_b 3.382
_cell_length_c 4.117
_cell_angle_alpha 90.00
_cell_angle_beta 105.22
_cell_angle_gamma 90.00
loop_
_space_group_symop_operation_xyz
'x,y,z'
'x,-y,z'
'x+1/2,y+1/2,z'
'x+1/2,-y+1/2,z'
loop_
_atom_site_label
_atom_site_type_symbol
_atom_site_fract_x
_atom_site_fract_y
_atom_site_fract_z
Mg1 Mg 0.000 0.000 0.000
Co1 Co 0.011 0.500 0.507
Co2 Co 0.238 0.500 0.131
Te1 Te 0.240 0.000 0.628
# **Formation energy (no corrections)**: 0.17 eV/atom
# **Total magnetic moment**: 0.16 μB per atom
# **Distance to the lowest polymorph of the same formula**: 97 meV per atom